{"formula": "LiP2Au", "functional": "PBE", "state": "relaxed", "mass_density_kg_m3": 6979, "dos_ef_per_ev_atom": 0.353, "magmom_total_mub_per_cell": 0.0, "space_group": "F-43m, No. 216", "e_form_ev_per_atom": 0.1916, "cell": [[4.4724, 0.0000, 0.0000], [2.2362, 3.8732, 0.0000], [2.2362, 1.2911, 3.6517]], "species": ["Li", "P", "Au", "P"], "frac_coords": [[0.7500, 0.7500, 0.7500], [0.0000, 0.0000, 0.0000], [0.5000, 0.5000, 0.5000], [0.2500, 0.2500, 0.2500]]}